No. 1
Computed, not measured: a crystal of MgCoIr2 relaxed with PBEsol at the SCAN level of DFT.

Unit cell a=7.114 b=7.114 c=4.862 alpha=90.00 beta=90.00 gamma=90.00
Atoms (fractional coordinates):
1 Mg 0.000 0.000 0.000
2 Mg 0.000 0.500 0.250
3 Mg 0.500 0.000 0.750
4 Mg 0.500 0.500 0.500
5 Co 0.000 0.000 0.500
6 Co 0.000 0.500 0.750
7 Co 0.500 0.000 0.250
8 Co 0.500 0.500 0.000
9 Ir 0.194 0.750 0.625
10 Ir 0.250 0.194 0.375
11 Ir 0.250 0.306 0.875
12 Ir 0.306 0.750 0.125
13 Ir 0.694 0.250 0.125
14 Ir 0.750 0.694 0.875
15 Ir 0.750 0.806 0.375
16 Ir 0.806 0.250 0.625

Calculated values
- calculated formation energy (kJ per mole of atoms) = 30.2
- SG = I-42d (122)
- crystal system = tetragonal

---

No. 2
Computed, not measured: a crystal of BaMg2Zr relaxed with PBEsol at the SCAN level of DFT.

Unit cell a=3.382 b=5.742 c=11.267 alpha=90.00 beta=90.00 gamma=90.00
Atoms (fractional coordinates):
1 Ba 0.000 0.000 0.000
2 Ba 0.500 0.500 0.500
3 Mg 0.000 0.000 0.495
4 Mg 0.000 0.500 0.772
5 Mg 0.500 0.000 0.272
6 Mg 0.500 0.500 0.995
7 Zr 0.000 0.500 0.226
8 Zr 0.500 0.000 0.726

Calculated values
- calculated formation energy (kJ per mole of atoms) = 34.9
- SG = Imm2 (44)
- crystal system = orthorhombic

---

No. 3
Computed, not measured: a crystal of CuRh2W relaxed with PBEsol at the SCAN level of DFT.

Unit cell a=2.763 b=2.763 c=7.123 alpha=90.00 beta=90.00 gamma=90.00
Atoms (fractional coordinates):
1 Cu 0.000 0.000 0.000
2 Rh 0.500 0.500 0.244
3 Rh 0.500 0.500 0.756
4 W 0.000 0.000 0.500

Calculated values
- energy above the lowest structure with this stoichiometry (meV per atom) = 83
- calculated formation energy (kJ per mole of atoms) = -9.5
- SG = P4/mmm (123)
- crystal system = tetragonal

---

No. 4
Computed, not measured: a crystal of In2HgCl relaxed with PBEsol at the SCAN level of DFT.

Unit cell a=4.218 b=4.218 c=5.859 alpha=90.00 beta=90.00 gamma=90.00
Atoms (fractional coordinates):
1 In 0.000 0.000 0.000
2 In 0.500 0.500 0.500
3 Hg 0.000 0.000 0.500
4 Cl 0.500 0.500 0.000

Calculated values
- energy above the lowest structure with this stoichiometry (meV per atom) = 0
- ΔE_f (raw) (eV per atom) = -0.423
- SG = P4/mmm (123)
- crystal system = tetragonal

---

No. 5
Computed, not measured: a crystal of SrLaI2O relaxed with PBEsol at the SCAN level of DFT.

Unit cell a=6.482 b=6.482 c=4.292 alpha=90.00 beta=90.00 gamma=90.00
Atoms (fractional coordinates):
1 Sr 0.000 0.000 0.000
2 La 0.500 0.500 0.500
3 I 0.000 0.500 0.500
4 I 0.500 0.000 0.500
5 O 0.500 0.500 0.000

Calculated values
- ΔE_f (raw) (eV per atom) = -1.898
- SG = P4/mmm (123)
- crystal system = tetragonal

---

No. 6
Computed, not measured: a crystal of Fe3Pb4ClO8 relaxed with PBEsol at the SCAN level of DFT.

Unit cell a=3.879 b=3.879 c=14.877 alpha=90.00 beta=90.00 gamma=90.00
Atoms (fractional coordinates):
1 Fe 0.000 0.000 0.000
2 Fe 0.000 0.000 0.254
3 Fe 0.000 0.000 0.746
4 Pb 0.500 0.500 0.118
5 Pb 0.500 0.500 0.377
6 Pb 0.500 0.500 0.623
7 Pb 0.500 0.500 0.882
8 Cl 0.000 0.000 0.500
9 O 0.000 0.000 0.128
10 O 0.000 0.000 0.872
11 O 0.000 0.500 0.000
12 O 0.000 0.500 0.282
13 O 0.000 0.500 0.718
14 O 0.500 0.000 0.000
15 O 0.500 0.000 0.282
16 O 0.500 0.000 0.718

Calculated values
- ΔE_f (raw) (eV per atom) = -1.346
- SG = P4/mmm (123)
- crystal system = tetragonal

---

No. 7
Computed, not measured: a crystal of Sr5Mn2N6 relaxed with PBEsol at the SCAN level of DFT.

Unit cell a=6.013 b=6.013 c=13.288 alpha=100.16 beta=100.16 gamma=65.35
Atoms (fractional coordinates):
1 Sr 0.115 0.885 0.750
2 Sr 0.170 0.694 0.003
3 Sr 0.251 0.432 0.280
4 Sr 0.306 0.830 0.497
5 Sr 0.432 0.251 0.780
6 Sr 0.568 0.749 0.220
7 Sr 0.694 0.170 0.503
8 Sr 0.749 0.568 0.720
9 Sr 0.830 0.306 0.997
10 Sr 0.885 0.115 0.250
11 Mn 0.139 0.410 0.570
12 Mn 0.410 0.139 0.070
13 Mn 0.590 0.861 0.930
14 Mn 0.861 0.590 0.430
15 N 0.104 0.199 0.639
16 N 0.152 0.292 0.434
17 N 0.199 0.104 0.139
18 N 0.292 0.152 0.934
19 N 0.386 0.491 0.626
20 N 0.491 0.386 0.126
21 N 0.509 0.614 0.874
22 N 0.614 0.509 0.374
23 N 0.708 0.848 0.066
24 N 0.801 0.896 0.861
25 N 0.848 0.708 0.566
26 N 0.896 0.801 0.361

Calculated values
- ΔE_f (raw) (eV per atom) = -0.916
- SG = C2/c (15)
- crystal system = monoclinic

---

No. 8
Computed, not measured: a crystal of FeAgOs2 relaxed with PBEsol at the SCAN level of DFT.

Unit cell a=2.651 b=2.651 c=7.772 alpha=90.00 beta=90.00 gamma=90.00
Atoms (fractional coordinates):
1 Fe 0.000 0.000 0.000
2 Ag 0.000 0.000 0.500
3 Os 0.500 0.500 0.220
4 Os 0.500 0.500 0.780

Calculated values
- energy above the lowest structure with this stoichiometry (meV per atom) = 169
- calculated formation energy (kJ per mole of atoms) = 50.4
- SG = P4/mmm (123)
- crystal system = tetragonal

---

Uncorrected energy: -652.90; -157.50; -152.82; -144.61; -154.58; -436.87; -431.09; -191.17 (eV per cell)